Here is a relaxed BaCoP2S8 crystal from Alexandria. Energies are from GGA-PBE.

Values from the calculation:
**Space group**: No. 147
**E_form (uncorrected)**: -490 meV per atom
**Uncorrected energy**: -4.895 eV/atom

Unit cell a=5.798 b=5.798 c=8.854 alpha=90.00 beta=90.00 gamma=120.00
Last column: magnetic moment on the atom in μB.
Element x y z (fractional)
1 Ba 0.000 0.000 0.000  0.00
2 Co 0.000 0.000 0.500  0.32
3 P 0.667 0.333 0.286  -0.01
4 P 0.333 0.667 0.714  -0.01
5 S 0.333 0.667 0.943  0.04
6 S 0.306 0.315 0.342  0.05
7 S 0.685 0.991 0.342  0.05
8 S 0.667 0.333 0.057  0.04
9 S 0.315 0.009 0.658  0.05
10 S 0.694 0.685 0.658  0.05
11 S 0.991 0.306 0.658  0.05
12 S 0.009 0.694 0.342  0.05

=====

Here is a relaxed K3Pa2Te6 crystal from Alexandria. Energies are from GGA-PBE.

Values from the calculation:
**Space group**: No. 139
**E_form (uncorrected)**: -844 meV per atom
**Uncorrected energy**: -4.584 eV/atom

Unit cell a=5.869 b=5.869 c=14.889 alpha=101.37 beta=101.37 gamma=90.00
Last column: magnetic moment on the atom in μB.
Element x y z (fractional)
1 K 0.000 0.000 0.000  0.00
2 K 0.823 0.823 0.646  0.00
3 K 0.177 0.177 0.354  0.00
4 Pa 0.399 0.399 0.799  0.58
5 Pa 0.601 0.601 0.201  0.58
6 Te 0.080 0.580 0.161  -0.03
7 Te 0.580 0.080 0.161  -0.03
8 Te 0.920 0.420 0.839  -0.03
9 Te 0.420 0.920 0.839  -0.03
10 Te 0.699 0.699 0.398  -0.02
11 Te 0.301 0.301 0.602  -0.02

=====

Here is a relaxed Dy4HgAu3 crystal from Alexandria. Energies are from GGA-PBE.

Values from the calculation:
**Energy of formation**: -0.76 eV/atom
**Space group**: No. 25
**Offset from the most stable computed form**: 0.000 eV per atom
**Uncorrected energy**: -4.331 eV/atom

Unit cell a=3.722 b=4.744 c=11.142 alpha=90.00 beta=90.00 gamma=90.00
Element x y z (fractional)
1 Dy 0.500 0.500 0.368
2 Dy 0.000 0.500 0.853
3 Dy 0.000 0.000 0.143
4 Dy 0.500 0.000 0.638
5 Hg 0.500 0.500 0.088
6 Au 0.000 0.500 0.588
7 Au 0.000 0.000 0.413
8 Au 0.500 0.000 0.910

=====

Here is a relaxed Nd12Tl4ZnO3 crystal from Alexandria. Energies are from GGA-PBE.

Values from the calculation:
**Space group**: No. 229
**E_form (uncorrected)**: -952 meV per atom
**Uncorrected energy**: -5.093 eV/atom

Unit cell a=8.893 b=8.893 c=8.893 alpha=109.47 beta=109.47 gamma=109.47
Element x y z (fractional)
1 Nd 0.250 0.500 0.750
2 Nd 0.734 0.000 0.734
3 Nd 0.266 0.000 0.266
4 Nd 0.750 0.500 0.250
5 Nd 0.734 0.734 0.000
6 Nd 0.266 0.266 0.000
7 Nd 0.750 0.250 0.500
8 Nd 0.250 0.750 0.500
9 Nd 0.500 0.250 0.750
10 Nd 0.000 0.734 0.734
11 Nd 0.500 0.750 0.250
12 Nd 0.000 0.266 0.266
13 Tl 0.500 0.500 0.500
14 Tl 0.000 0.000 0.500
15 Tl 0.500 0.000 0.000
16 Tl 0.000 0.500 0.000
17 Zn 0.000 0.000 0.000
18 O 0.500 0.000 0.500
19 O 0.500 0.500 0.000
20 O 0.000 0.500 0.500

=====

Here is a relaxed SiRhI2O crystal from Alexandria. Energies are from GGA-PBE.

Values from the calculation:
**Space group**: No. 123
**E_form (uncorrected)**: 12 meV per atom
**Offset from the most stable computed form**: 0.000 eV per atom
**Uncorrected energy**: -4.154 eV/atom

Unit cell a=5.416 b=5.416 c=3.418 alpha=90.00 beta=90.00 gamma=90.00
Element x y z (fractional)
1 I 0.000 0.500 0.000
2 I 0.500 0.000 0.000
3 Si 0.000 0.000 0.000
4 Rh 0.500 0.500 0.500
5 O 0.000 0.000 0.500

=====

Here is a relaxed Tm2AgPb crystal from Alexandria. Energies are from GGA-PBE.

Values from the calculation:
**Energy of formation**: -0.35 eV/atom
**Space group**: No. 123
**Uncorrected energy**: -4.226 eV/atom

Unit cell a=4.056 b=4.986 c=4.986 alpha=90.00 beta=90.00 gamma=90.00
Last column: magnetic moment on the atom in μB.
Element x y z (fractional)
1 Pb 0.500 0.500 0.500  0.00
2 Tm 0.000 0.000 0.500  0.15
3 Tm 0.000 0.500 0.000  0.15
4 Ag 0.500 0.000 0.000  0.01

=====

Here is a relaxed Eu crystal from Alexandria. Energies are from GGA-PBE.

Values from the calculation:
**Energy of formation**: 0.09 eV/atom
**Space group**: No. 167
**Offset from the most stable computed form**: 0.090 eV per atom
**Uncorrected energy**: -10.185 eV/atom

Unit cell a=7.126 b=7.126 c=7.126 alpha=111.14 beta=111.14 gamma=111.14
Last column: magnetic moment on the atom in μB.
Element x y z (fractional)
1 Eu 0.064 0.436 0.250  7.08
2 Eu 0.436 0.250 0.064  7.08
3 Eu 0.250 0.064 0.436  7.08
4 Eu 0.564 0.750 0.936  7.08
5 Eu 0.750 0.936 0.564  7.08
6 Eu 0.936 0.564 0.750  7.08

=====

Here is a relaxed Ce2ErH8 crystal from Alexandria. Energies are from GGA-PBE.

Values from the calculation:
**Space group**: No. 71
**Uncorrected energy**: -4.490 eV/atom

Unit cell a=3.810 b=5.157 c=6.559 alpha=113.15 beta=106.88 gamma=90.00
Last column: magnetic moment on the atom in μB.
Element x y z (fractional)
1 Ce 0.171 0.671 0.341  0.81
2 Ce 0.829 0.329 0.659  0.81
3 Er 0.500 0.000 0.000  0.03
4 H 0.653 0.901 0.305  0.00
5 H 0.347 0.596 0.695  0.00
6 H 0.178 0.178 0.356  -0.01
7 H 0.000 0.246 0.000  0.00
8 H 0.822 0.822 0.644  -0.01
9 H 0.653 0.404 0.305  0.00
10 H 0.347 0.099 0.695  0.00
11 H 0.000 0.754 0.000  0.00

=====

Here is a relaxed CeEuY crystal from Alexandria. Energies are from GGA-PBE.

Values from the calculation:
**Energy of formation**: 0.13 eV/atom
**Space group**: No. 107
**Offset from the most stable computed form**: 0.003 eV per atom
**Uncorrected energy**: -7.423 eV/atom

Unit cell a=3.615 b=3.615 c=8.231 alpha=102.69 beta=102.69 gamma=90.00
Last column: magnetic moment on the atom in μB.
Element x y z (fractional)
1 Eu 0.997 0.997 0.994  7.00
2 Y 0.676 0.676 0.352  -0.09
3 Ce 0.327 0.327 0.654  0.76

=====

Here is a relaxed Ho3ErHg4 crystal from Alexandria. Energies are from GGA-PBE.

Values from the calculation:
**Energy of formation**: -0.48 eV/atom
**Space group**: No. 123
**Offset from the most stable computed form**: 0.000 eV per atom
**Uncorrected energy**: -2.917 eV/atom

Unit cell a=3.702 b=3.702 c=14.816 alpha=90.00 beta=90.00 gamma=90.00
Element x y z (fractional)
1 Hg 0.000 0.000 0.876
2 Hg 0.000 0.000 0.124
3 Hg 0.000 0.000 0.375
4 Hg 0.000 0.000 0.625
5 Ho 0.500 0.500 0.249
6 Ho 0.500 0.500 0.500
7 Ho 0.500 0.500 0.751
8 Er 0.500 0.500 0.000

=====

Here is a relaxed EuInPdPb crystal from Alexandria. Energies are from GGA-PBE.

Values from the calculation:
**Energy of formation**: -0.36 eV/atom
**Space group**: No. 216
**Uncorrected energy**: -5.840 eV/atom

Unit cell a=5.139 b=5.139 c=5.139 alpha=60.00 beta=60.00 gamma=60.00
Last column: magnetic moment on the atom in μB.
Element x y z (fractional)
1 Pb 0.250 0.250 0.250  0.00
2 Eu 0.500 0.500 0.500  6.79
3 Pd 0.000 0.000 0.000  0.01
4 In 0.750 0.750 0.750  0.00

=====

Here is a relaxed Ti2HIrPt crystal from Alexandria. Energies are from GGA-PBE.

Values from the calculation:
**Space group**: No. 123
**Offset from the most stable computed form**: 0.000 eV per atom
**Uncorrected energy**: -7.514 eV/atom

Unit cell a=4.055 b=4.055 c=3.829 alpha=90.00 beta=90.00 gamma=90.00
Last column: magnetic moment on the atom in μB.
Element x y z (fractional)
1 H 0.000 0.000 0.000  0.00
2 Ir 0.000 0.000 0.500  0.00
3 Pt 0.500 0.500 0.500  0.00
4 Ti 0.000 0.500 0.000  0.23
5 Ti 0.500 0.000 0.000  0.23